No. 1
## Ca2SmPtO6 (PBE-GGA)

Data for crystalline Ca2SmPtO6 at its relaxed geometry.

Properties
Energy relative to the elements, uncorrected = -2.202 eV/atom

abc: 5.676 5.895 8.151
angles: 90.00 90.91 90.00
Each line ends with the local moment (μB).
Fractional positions:
1 O 0.284 0.686 0.061  0.07
2 Sm 0.500 0.000 0.000  0.00
3 O 0.216 0.186 0.439  0.07
4 O 0.120 0.448 0.771  0.07
5 O 0.324 0.717 0.433  0.08
6 Ca 0.981 0.057 0.750  0.00
7 O 0.824 0.783 0.933  0.08
8 Pt 0.500 0.000 0.500  0.38
9 O 0.176 0.217 0.067  0.08
10 Sm 0.000 0.500 0.500  0.00
11 O 0.620 0.052 0.271  0.07
12 Ca 0.481 0.443 0.250  0.00
13 Ca 0.519 0.557 0.750  0.00
14 O 0.380 0.948 0.729  0.07
15 Pt 0.000 0.500 0.000  0.38
16 O 0.880 0.552 0.229  0.07
17 Ca 0.019 0.943 0.250  0.00
18 O 0.676 0.283 0.567  0.08
19 O 0.784 0.814 0.561  0.07
20 O 0.716 0.314 0.939  0.07

No. 2
## CaSmPtO4 (PBE-GGA)

Data for crystalline CaSmPtO4 at its relaxed geometry.

Properties
Energy relative to the elements, uncorrected = -2.052 eV/atom

abc: 6.584 6.657 7.178
angles: 122.62 90.00 119.64
Each line ends with the local moment (μB).
Fractional positions:
1 O 0.322 0.076 0.788  0.17
2 Sm 0.500 0.000 0.000  -0.02
3 O 0.242 0.484 0.673  0.02
4 Pt 0.500 0.500 0.500  0.53
5 Ca 0.843 0.686 0.093  0.01
6 O 0.678 0.924 0.212  0.17
7 O 0.758 0.516 0.327  0.02
8 Pt 0.000 0.500 0.500  0.53
9 O 0.754 0.076 0.788  0.17
10 O 0.242 0.484 0.310  0.02
11 Ca 0.157 0.314 0.907  0.01
12 O 0.758 0.516 0.690  0.02
13 O 0.246 0.924 0.212  0.17
14 Sm 0.500 0.000 0.500  -0.02

No. 3
## SrCa2PtO5 (PBE-GGA)

Data for crystalline SrCa2PtO5 at its relaxed geometry.

Properties
Energy relative to the elements, uncorrected = -2.093 eV/atom

abc: 3.918 5.738 6.627
angles: 115.66 107.20 90.00
Fractional positions:
1 O 0.000 0.000 0.000
2 O 0.366 0.110 0.733
3 O 0.366 0.623 0.733
4 O 0.634 0.890 0.267
5 O 0.634 0.377 0.267
6 Ca 0.212 0.212 0.424
7 Sr 0.000 0.500 0.000
8 Pt 0.500 0.000 0.000
9 Ca 0.788 0.788 0.576

No. 4
## Sr2CaPtO (PBE-GGA)

Data for crystalline Sr2CaPtO at its relaxed geometry.

Properties
Energy relative to the elements, uncorrected = -1.400 eV/atom

abc: 5.082 5.082 4.646
angles: 90.00 90.00 90.00
Fractional positions:
1 Sr 0.500 0.000 0.000
2 Ca 0.000 0.000 0.500
3 O 0.000 0.000 0.000
4 Pt 0.500 0.500 0.500
5 Sr 0.000 0.500 0.000

No. 5
## SrCa2PtO4 (PBE-GGA)

Data for crystalline SrCa2PtO4 at its relaxed geometry.

Properties
Energy relative to the elements, uncorrected = -1.968 eV/atom

abc: 3.379 6.245 11.939
angles: 90.00 90.00 105.70
Each line ends with the local moment (μB).
Fractional positions:
1 Sr 0.869 0.738 0.250  -0.01
2 O 0.000 0.000 0.000  0.04
3 O 0.527 0.055 0.250  0.09
4 Ca 0.373 0.746 0.959  0.01
5 O 0.266 0.531 0.121  0.12
6 O 0.000 0.000 0.500  0.04
7 O 0.734 0.469 0.621  0.12
8 Ca 0.627 0.254 0.041  0.01
9 Ca 0.627 0.254 0.459  0.01
10 Pt 0.133 0.266 0.250  0.56
11 O 0.266 0.531 0.379  0.12
12 Pt 0.867 0.734 0.750  0.56
13 Sr 0.131 0.262 0.750  -0.01
14 O 0.734 0.469 0.879  0.12
15 O 0.473 0.945 0.750  0.09
16 Ca 0.373 0.746 0.541  0.01

No. 6
## CaTaPtO6 (PBE-GGA)

Data for crystalline CaTaPtO6 at its relaxed geometry.

Properties
Energy relative to the elements, uncorrected = -1.897 eV/atom

abc: 4.882 4.882 9.614
angles: 90.00 90.00 90.00
Fractional positions:
1 Ta 0.000 0.000 0.670
2 Ca 0.000 0.000 0.004
3 O 0.674 0.674 0.999
4 O 0.326 0.326 0.999
5 O 0.288 0.288 0.312
6 Ta 0.500 0.500 0.170
7 O 0.174 0.826 0.499
8 O 0.212 0.788 0.186
9 O 0.788 0.212 0.186
10 O 0.826 0.174 0.499
11 O 0.788 0.212 0.812
12 O 0.712 0.712 0.686
13 Pt 0.500 0.500 0.831
14 O 0.212 0.788 0.812
15 Ca 0.500 0.500 0.504
16 O 0.712 0.712 0.312
17 Pt 0.000 0.000 0.331
18 O 0.288 0.288 0.686

No. 7
## CaTbPtO4 (PBE-GGA)

Data for crystalline CaTbPtO4 at its relaxed geometry.

Properties
Energy relative to the elements, uncorrected = -2.116 eV/atom

abc: 6.569 6.645 6.975
angles: 121.65 90.00 119.62
Each line ends with the local moment (μB).
Fractional positions:
1 O 0.750 0.501 0.688  0.02
2 Tb 0.500 0.000 0.000  -0.02
3 Pt 0.500 0.500 0.500  0.55
4 Ca 0.148 0.296 0.898  0.01
5 Tb 0.500 0.000 0.500  -0.02
6 Pt 0.000 0.500 0.500  0.55
7 O 0.312 0.057 0.779  0.16
8 O 0.250 0.499 0.687  0.02
9 O 0.255 0.943 0.221  0.16
10 O 0.250 0.499 0.312  0.02
11 Ca 0.852 0.704 0.102  0.01
12 O 0.745 0.057 0.779  0.16
13 O 0.750 0.501 0.313  0.02
14 O 0.688 0.943 0.221  0.16

No. 8
## CaThPtO6 (PBE-GGA)

Data for crystalline CaThPtO6 at its relaxed geometry.

Properties
Energy relative to the elements, uncorrected = -1.960 eV/atom

abc: 5.082 5.082 10.298
angles: 90.00 90.00 90.00
Each line ends with the local moment (μB).
Fractional positions:
1 O 0.812 0.188 0.476  0.07
2 O 0.188 0.812 0.476  0.07
3 O 0.817 0.183 0.187  0.11
4 O 0.183 0.817 0.187  0.11
5 O 0.688 0.688 0.976  0.07
6 Ca 0.000 0.000 0.663  0.01
7 Pt 0.500 0.500 0.833  0.48
8 O 0.773 0.227 0.837  0.20
9 Ca 0.500 0.500 0.163  0.01
10 O 0.727 0.727 0.337  0.20
11 O 0.227 0.773 0.837  0.20
12 O 0.683 0.683 0.687  0.11
13 Pt 0.000 0.000 0.333  0.48
14 Th 0.500 0.500 0.502  0.02
15 O 0.273 0.273 0.337  0.20
16 O 0.317 0.317 0.687  0.11
17 Th 0.000 0.000 0.002  0.02
18 O 0.312 0.312 0.976  0.07

| no. | E_tot (eV per atom) |
| --- | --- |
| 1 | -6.65 |
| 2 | -6.71 |
| 3 | -6.15 |
| 4 | -4.67 |
| 5 | -5.91 |
| 6 | -7.41 |
| 7 | -6.76 |
| 8 | -6.98 |